No. 1
Density functional theory data (GGA-PBE) for a geometry-optimized Li4Cu2Ni3 structure.

a b c (Å): 7.395 6.565 4.724
angles (deg): 80.04 60.97 38.99
Element x y z (fractional)
Li (0.022, 0.322, 0.678)
Li (0.322, 0.022, 0.978)
Li (0.678, 0.978, 0.022)
Li (0.978, 0.678, 0.322)
Cu (0.401, 0.401, 0.599)
Cu (0.599, 0.599, 0.401)
Ni (0.000, 0.000, 0.000)
Ni (0.000, 0.000, 0.500)
Ni (0.500, 0.500, 0.000)

**ΔH_f (0 K)**: 0.06 eV per formula unit
**E**: -3.6818 eV per atom
**Space group**: Fmmm, No. 69

---

No. 2
Density functional theory data (GGA-PBE) for a geometry-optimized Ho2Hg3Pb3 structure.

a b c (Å): 4.736 4.789 9.222
angles (deg): 90.00 90.00 90.00
Element x y z (fractional)
Ho (0.000, 0.000, 0.247)
Ho (0.000, 0.000, 0.753)
Hg (0.000, 0.500, 0.000)
Hg (0.500, 0.500, 0.242)
Hg (0.500, 0.500, 0.758)
Pb (0.000, 0.500, 0.500)
Pb (0.500, 0.000, 0.000)
Pb (0.500, 0.000, 0.500)

**ΔH_f (0 K)**: -2.52 eV per formula unit
**E**: -2.9637 eV per atom
**Space group**: Pmmm, No. 47

---

No. 3
Density functional theory data (GGA-PBE) for a geometry-optimized Dy2Sn2H structure.

a b c (Å): 7.612 7.612 7.612
angles (deg): 133.89 67.06 134.15
Element x y z (fractional)
Dy (0.069, 0.240, 0.309)
Dy (0.431, 0.740, 0.171)
Dy (0.569, 0.260, 0.829)
Dy (0.931, 0.760, 0.691)
Sn (0.185, 0.724, 0.910)
Sn (0.315, 0.224, 0.539)
Sn (0.685, 0.776, 0.461)
Sn (0.815, 0.276, 0.090)
H (0.250, 0.250, 0.000)
H (0.750, 0.750, 0.000)

**E**: -4.6150 eV per atom
**Space group**: Ibam, No. 72

---

No. 4
Density functional theory data (GGA-PBE) for a geometry-optimized Ce7Co3 structure.

a b c (Å): 9.293 9.293 6.026
angles (deg): 90.00 90.00 120.00
Element x y z (fractional)
Ce (0.080, 0.540, 0.000)
Ce (0.126, 0.251, 0.273)
Ce (0.126, 0.874, 0.273)
Ce (0.251, 0.126, 0.773)
Ce (0.333, 0.667, 0.489)
Ce (0.460, 0.540, 0.000)
Ce (0.460, 0.920, 0.000)
Ce (0.540, 0.080, 0.500)
Ce (0.540, 0.460, 0.500)
Ce (0.667, 0.333, 0.989)
Ce (0.749, 0.874, 0.273)
Ce (0.874, 0.126, 0.773)
Ce (0.874, 0.749, 0.773)
Ce (0.920, 0.460, 0.500)
Co (0.179, 0.359, 0.751)
Co (0.179, 0.821, 0.751)
Co (0.359, 0.179, 0.251)
Co (0.641, 0.821, 0.751)
Co (0.821, 0.179, 0.251)
Co (0.821, 0.641, 0.251)

**ΔH_f (0 K)**: -1.50 eV per formula unit
**E**: -6.4353 eV per atom
**Space group**: P6_3mc, No. 186

---

No. 5
Density functional theory data (GGA-PBE) for a geometry-optimized KZrH2OF5 structure.

a b c (Å): 7.712 12.332 11.246
angles (deg): 90.00 97.65 90.00
Element x y z (fractional)
K (0.199, 0.042, 0.146)
K (0.199, 0.458, 0.646)
K (0.293, 0.025, 0.622)
K (0.293, 0.475, 0.122)
K (0.707, 0.525, 0.878)
K (0.707, 0.975, 0.378)
K (0.801, 0.542, 0.354)
K (0.801, 0.958, 0.854)
Zr (0.020, 0.236, 0.379)
Zr (0.020, 0.264, 0.879)
Zr (0.467, 0.243, 0.390)
Zr (0.467, 0.257, 0.890)
Zr (0.533, 0.743, 0.110)
Zr (0.533, 0.757, 0.610)
Zr (0.980, 0.736, 0.121)
Zr (0.980, 0.764, 0.621)
H (0.083, 0.653, 0.851)
H (0.083, 0.847, 0.351)
H (0.253, 0.660, 0.782)
H (0.253, 0.840, 0.282)
H (0.259, 0.645, 0.461)
H (0.259, 0.855, 0.961)
H (0.419, 0.647, 0.380)
H (0.419, 0.853, 0.880)
H (0.581, 0.147, 0.120)
H (0.581, 0.353, 0.620)
H (0.741, 0.145, 0.039)
H (0.741, 0.355, 0.539)
H (0.747, 0.160, 0.718)
H (0.747, 0.340, 0.218)
H (0.917, 0.153, 0.649)
H (0.917, 0.347, 0.149)
O (0.125, 0.655, 0.771)
O (0.125, 0.845, 0.271)
O (0.387, 0.645, 0.463)
O (0.387, 0.855, 0.963)
O (0.613, 0.145, 0.037)
O (0.613, 0.355, 0.537)
O (0.875, 0.155, 0.729)
O (0.875, 0.345, 0.229)
F (0.007, 0.141, 0.528)
F (0.007, 0.359, 0.028)
F (0.047, 0.630, 0.524)
F (0.047, 0.870, 0.024)
F (0.061, 0.616, 0.240)
F (0.061, 0.884, 0.740)
F (0.210, 0.203, 0.773)
F (0.210, 0.297, 0.273)
F (0.246, 0.126, 0.384)
F (0.246, 0.374, 0.884)
F (0.256, 0.720, 0.113)
F (0.256, 0.780, 0.613)
F (0.275, 0.200, 0.994)
F (0.275, 0.300, 0.494)
F (0.457, 0.630, 0.981)
F (0.457, 0.870, 0.481)
F (0.467, 0.626, 0.706)
F (0.467, 0.874, 0.206)
F (0.488, 0.144, 0.244)
F (0.488, 0.356, 0.744)
F (0.512, 0.644, 0.256)
F (0.512, 0.856, 0.756)
F (0.533, 0.126, 0.794)
F (0.533, 0.374, 0.294)
F (0.543, 0.130, 0.519)
F (0.543, 0.370, 0.019)
F (0.725, 0.700, 0.506)
F (0.725, 0.800, 0.006)
F (0.744, 0.220, 0.387)
F (0.744, 0.280, 0.887)
F (0.754, 0.626, 0.116)
F (0.754, 0.874, 0.616)
F (0.790, 0.703, 0.727)
F (0.790, 0.797, 0.227)
F (0.939, 0.116, 0.260)
F (0.939, 0.384, 0.760)
F (0.953, 0.130, 0.976)
F (0.953, 0.370, 0.476)
F (0.993, 0.641, 0.972)
F (0.993, 0.859, 0.472)

**E**: -5.8431 eV per atom
**Space group**: P2_1/c, No. 14

---

No. 6
Density functional theory data (GGA-PBE) for a geometry-optimized Sc2Ni2Pd structure.

a b c (Å): 5.033 5.033 5.033
angles (deg): 122.88 122.88 85.08
Element x y z (fractional)
Sc (0.250, 0.750, 0.500)
Sc (0.750, 0.250, 0.500)
Ni (0.149, 0.149, 0.000)
Ni (0.851, 0.851, 0.000)
Pd (0.500, 0.500, 0.000)

**ΔH_f (0 K)**: -1.76 eV per formula unit
**E**: -6.2364 eV per atom
**Space group**: I4/mmm, No. 139

---

No. 7
Density functional theory data (GGA-PBE) for a geometry-optimized GaCo3Pb structure.

a b c (Å): 4.865 4.865 4.865
angles (deg): 90.00 90.00 90.00
Element x y z (fractional)
Ga (0.000, 0.000, 0.000)
Co (0.000, 0.500, 0.500)
Co (0.500, 0.000, 0.500)
Co (0.500, 0.500, 0.000)
Pb (0.500, 0.500, 0.500)

**ΔH_f (0 K)**: 7.75 eV per formula unit
**E**: -4.0611 eV per atom
**Space group**: Pm-3m, No. 221

---

No. 8
Density functional theory data (GGA-PBE) for a geometry-optimized PmDyIrAu structure.

a b c (Å): 5.031 5.031 5.031
angles (deg): 60.00 60.00 60.00
Element x y z (fractional)
Pm (0.000, 0.000, 0.000)
Dy (0.500, 0.500, 0.500)
Ir (0.250, 0.250, 0.250)
Au (0.750, 0.750, 0.750)

**ΔH_f (0 K)**: -3.02 eV per formula unit
**E**: -6.1285 eV per atom
**Space group**: F-43m, No. 216

---

No. 9
Density functional theory data (GGA-PBE) for a geometry-optimized ScP3W structure.

a b c (Å): 4.693 4.693 4.693
angles (deg): 90.00 90.00 90.00
Element x y z (fractional)
Sc (0.000, 0.000, 0.000)
P (0.000, 0.500, 0.500)
P (0.500, 0.000, 0.500)
P (0.500, 0.500, 0.000)
W (0.500, 0.500, 0.500)

**ΔH_f (0 K)**: 0.96 eV per formula unit
**E**: -6.9110 eV per atom
**Space group**: Pm-3m, No. 221

---

No. 10
Density functional theory data (GGA-PBE) for a geometry-optimized Ba2Al3Cd5 structure.

a b c (Å): 4.732 4.732 12.109
angles (deg): 90.00 90.00 90.00
Element x y z (fractional)
Ba (0.000, 0.500, 0.234)
Ba (0.500, 0.000, 0.766)
Al (0.000, 0.000, 0.000)
Al (0.000, 0.500, 0.880)
Al (0.500, 0.000, 0.120)
Cd (0.000, 0.000, 0.500)
Cd (0.000, 0.500, 0.650)
Cd (0.500, 0.000, 0.350)
Cd (0.500, 0.500, 0.000)
Cd (0.500, 0.500, 0.500)

**ΔH_f (0 K)**: -2.38 eV per formula unit
**E**: -2.2029 eV per atom
**Space group**: P-4m2, No. 115

---

No. 11
Density functional theory data (GGA-PBE) for a geometry-optimized ZnCrMo structure.

a b c (Å): 4.814 4.814 4.814
angles (deg): 141.90 141.90 54.98
Element x y z (fractional)
Zn (0.000, 0.000, 0.000)
Cr (0.327, 0.327, 0.000)
Mo (0.684, 0.684, 0.000)

**ΔH_f (0 K)**: 0.52 eV per formula unit
**E**: -7.0691 eV per atom
**Space group**: I4mm, No. 107

---

No. 12
Density functional theory data (GGA-PBE) for a geometry-optimized Dy5Ta2O12 structure.

a b c (Å): 6.880 6.880 7.434
angles (deg): 105.73 105.73 50.72
Element x y z (fractional)
Dy (0.000, 0.000, 0.000)
Dy (0.301, 0.301, 0.137)
Dy (0.308, 0.308, 0.675)
Dy (0.692, 0.692, 0.325)
Dy (0.699, 0.699, 0.863)
Ta (0.242, 0.758, 0.500)
Ta (0.758, 0.242, 0.500)
O (0.001, 0.001, 0.306)
O (0.096, 0.595, 0.926)
O (0.100, 0.569, 0.415)
O (0.405, 0.904, 0.074)
O (0.431, 0.900, 0.585)
O (0.499, 0.499, 0.694)
O (0.501, 0.501, 0.306)
O (0.569, 0.100, 0.415)
O (0.595, 0.096, 0.926)
O (0.900, 0.431, 0.585)
O (0.904, 0.405, 0.074)
O (0.999, 0.999, 0.694)

**Formation energy from raw total energies**: -323 kJ/mol of atoms
**E**: -8.9427 eV per atom
**Space group**: C2/m, No. 12

---

No. 13
Density functional theory data (GGA-PBE) for a geometry-optimized LaH6Pt structure.

a b c (Å): 4.857 4.857 4.857
angles (deg): 56.88 56.88 56.88
Element x y z (fractional)
La (0.000, 0.000, 0.000)
H (0.071, 0.601, 0.601)
H (0.399, 0.399, 0.929)
H (0.399, 0.929, 0.399)
H (0.601, 0.071, 0.601)
H (0.601, 0.601, 0.071)
H (0.929, 0.399, 0.399)
Pt (0.500, 0.500, 0.500)

**E**: -4.3040 eV per atom
**Space group**: R-3m, No. 166

---

No. 14
Density functional theory data (GGA-PBE) for a geometry-optimized Np2BiS6 structure.

a b c (Å): 6.311 6.311 12.244
angles (deg): 90.00 90.00 90.00
Element x y z (fractional)
Np (0.000, 0.000, 0.168)
Np (0.000, 0.000, 0.832)
Np (0.500, 0.500, 0.332)
Np (0.500, 0.500, 0.668)
Bi (0.000, 0.000, 0.500)
Bi (0.500, 0.500, 0.000)
S (0.184, 0.184, 0.000)
S (0.201, 0.201, 0.324)
S (0.201, 0.201, 0.676)
S (0.299, 0.701, 0.176)
S (0.299, 0.701, 0.824)
S (0.316, 0.684, 0.500)
S (0.684, 0.316, 0.500)
S (0.701, 0.299, 0.176)
S (0.701, 0.299, 0.824)
S (0.799, 0.799, 0.324)
S (0.799, 0.799, 0.676)
S (0.816, 0.816, 0.000)

**Formation energy from raw total energies**: -83 kJ/mol of atoms
**E**: -6.9196 eV per atom
**Space group**: P4_2/mnm, No. 136

---

No. 15
Density functional theory data (GGA-PBE) for a geometry-optimized La6Y2Th structure.

a b c (Å): 3.669 3.669 27.640
angles (deg): 90.00 90.00 120.00
Element x y z (fractional)
La (0.000, 0.000, 0.066)
La (0.000, 0.000, 0.278)
La (0.000, 0.000, 0.722)
La (0.000, 0.000, 0.934)
La (0.333, 0.667, 0.393)
La (0.333, 0.667, 0.607)
Y (0.333, 0.667, 0.171)
Y (0.333, 0.667, 0.829)
Th (0.000, 0.000, 0.500)

**ΔH_f (0 K)**: 0.52 eV per formula unit
**E**: -5.4875 eV per atom
**Space group**: P-6m2, No. 187

---

No. 16
Density functional theory data (GGA-PBE) for a geometry-optimized Sc2UO6 structure.

a b c (Å): 6.190 6.190 6.190
angles (deg): 144.78 131.05 61.73
Element x y z (fractional)
Sc (0.169, 0.169, 0.000)
Sc (0.831, 0.831, 0.000)
U (0.500, 0.500, 0.000)
O (0.089, 0.337, 0.752)
O (0.255, 0.000, 0.255)
O (0.415, 0.663, 0.752)
O (0.585, 0.337, 0.248)
O (0.745, 0.000, 0.745)
O (0.911, 0.663, 0.248)

**Formation energy from raw total energies**: -319 kJ/mol of atoms
**E**: -9.2754 eV per atom
**Space group**: Immm, No. 71

---

No. 17
Density functional theory data (GGA-PBE) for a geometry-optimized ReB structure.

a b c (Å): 7.529 7.529 7.529
angles (deg): 94.58 94.58 147.17
Element x y z (fractional)
Re (0.120, 0.237, 0.617)
Re (0.120, 0.502, 0.883)
Re (0.237, 0.120, 0.117)
Re (0.498, 0.880, 0.617)
Re (0.502, 0.120, 0.383)
Re (0.763, 0.880, 0.883)
Re (0.880, 0.498, 0.117)
Re (0.880, 0.763, 0.383)
B (0.045, 0.617, 0.428)
B (0.311, 0.383, 0.928)
B (0.383, 0.311, 0.428)
B (0.383, 0.955, 0.072)
B (0.617, 0.045, 0.928)
B (0.617, 0.689, 0.572)
B (0.689, 0.617, 0.072)
B (0.955, 0.383, 0.572)

**ΔH_f (0 K)**: 0.05 eV per formula unit
**E**: -9.5402 eV per atom
**Space group**: I4_1/amd, No. 141

---

No. 18
Density functional theory data (GGA-PBE) for a geometry-optimized Pr6CoPd2Br3 structure.

a b c (Å): 7.276 7.276 8.168
angles (deg): 98.50 98.50 120.09
Element x y z (fractional)
Pr (0.065, 0.379, 0.197)
Pr (0.248, 0.248, 0.803)
Pr (0.379, 0.065, 0.197)
Pr (0.621, 0.935, 0.803)
Pr (0.752, 0.752, 0.197)
Pr (0.935, 0.621, 0.803)
Co (0.000, 0.000, 0.000)
Pd (0.333, 0.667, 0.000)
Pd (0.667, 0.333, 0.000)
Br (0.163, 0.837, 0.500)
Br (0.500, 0.500, 0.500)
Br (0.837, 0.163, 0.500)

**Formation energy from raw total energies**: -89 kJ/mol of atoms
**E**: -5.1862 eV per atom
**Space group**: C2/m, No. 12

---

No. 19
Density functional theory data (GGA-PBE) for a geometry-optimized Y3TaGa structure.

a b c (Å): 5.452 5.452 5.452
angles (deg): 90.00 90.00 90.00
Element x y z (fractional)
Y (0.000, 0.000, 0.500)
Y (0.000, 0.500, 0.000)
Y (0.500, 0.000, 0.000)
Ta (0.000, 0.000, 0.000)
Ga (0.500, 0.500, 0.500)

**ΔH_f (0 K)**: 3.40 eV per formula unit
**E**: -6.1741 eV per atom
**Space group**: Pm-3m, No. 221

---

No. 20
Density functional theory data (GGA-PBE) for a geometry-optimized SrAuNF2 structure.

a b c (Å): 4.756 4.756 3.852
angles (deg): 90.00 90.00 90.00
Element x y z (fractional)
Sr (0.000, 0.000, 0.000)
Au (0.500, 0.500, 0.500)
N (0.500, 0.500, 0.000)
F (0.000, 0.500, 0.500)
F (0.500, 0.000, 0.500)

**Formation energy from raw total energies**: -98 kJ/mol of atoms
**E**: -4.4172 eV per atom
**Space group**: P4/mmm, No. 123